No. 1
Here is a geometry-optimized La6P2C structure from Alexandria via LeMat-Bulk. Energies are from PBE.

Output
Spin magnetization   0.000 μB/atom
N(E_F)   20.36 states/eV/cell
Calculated total energy   -111.76 eV per cell
Formation energy   -0.6971 eV per atom

Cell: 6.5608 7.8910 11.5039 Å, 90.00 123.09 90.00°
Closest atoms and distances in Å follow each position.
Space group P2_1/c (No. 14)
Unique sites:
La 0.1152 0.0369 0.2502 x4  1 C 2.56
La 0.1975 0.7050 0.0542 x4  1 C 2.57
La 0.3851 0.1704 0.0496 x4  1 C 2.63
P 0.3134 0.1164 0.7490 x4  8 La 3.03-3.34
C 0.0000 0.0000 0.0000 x2  6 La 2.56-2.63

=====

No. 2
Here is a geometry-optimized La12P3C5 structure from Alexandria via LeMat-Bulk. Energies are from PBE.

Output
Spin magnetization   0.000 μB/atom
N(E_F)   102.59 states/eV/cell
Calculated total energy   -1037.26 eV per cell
Formation energy   -0.4090 eV per atom

Cell: 16.2142 16.2142 16.2142 Å, 90.00 90.00 90.00°
Closest atoms and distances in Å follow each position.
Space group Ia-3d (No. 230)
Unique sites:
La 0.0283 0.0579 0.6512 x96  2 C 2.43-2.67
P 0.0000 0.2500 0.1250 x24  8 La 3.10-3.18
C 0.0000 0.0000 0.0000 x16  6 La 2.67
C 0.0000 0.2500 0.3750 x24  4 La 2.43

=====

No. 3
Here is a geometry-optimized La4PC structure from Alexandria via LeMat-Bulk. Energies are from PBE.

Output
Spin magnetization   0.000 μB/atom
N(E_F)   26.39 states/eV/cell
Calculated total energy   -149.35 eV per cell
Formation energy   -0.4989 eV per atom

Cell: 7.9557 16.0817 6.8866 Å, 90.00 123.86 90.00°
Closest atoms and distances in Å follow each position.
Space group C2/c (No. 15)
Unique sites:
La 0.1984 0.1792 0.2272 x8  1 C 2.52
La 0.2300 0.0544 0.7267 x8  2 C 2.69-2.73, 1 P 2.94
P 0.0000 0.4245 0.7500 x4  6 La 2.85-3.01
C 0.0000 0.0623 0.2500 x4  6 La 2.52-2.73

=====

No. 4
Here is a geometry-optimized La2PPbC structure from Alexandria via LeMat-Bulk. Energies are from PBE.

Output
Spin magnetization   0.000 μB/atom
N(E_F)   3.54 states/eV/cell
Calculated total energy   -28.85 eV per cell
Formation energy   -0.1312 eV per atom

Cell: 5.2487 5.2487 4.5402 Å, 90.00 90.00 90.00°
Closest atoms and distances in Å follow each position.
Space group P4/mmm (No. 123)
Unique sites:
La 0.0000 0.5000 0.0000 x2  2 C 2.62
P 0.0000 0.0000 0.5000 x1  8 La 3.47, 4 Pb 3.71
Pb 0.5000 0.5000 0.5000 x1  2 C 2.27
C 0.5000 0.5000 0.0000 x1  2 Pb 2.27

=====

No. 5
Here is a geometry-optimized RbLa2PC structure from Alexandria via LeMat-Bulk. Energies are from PBE.

Output
Spin magnetization   0.000 μB/atom
N(E_F)   4.71 states/eV/cell
Calculated total energy   -21.76 eV per cell
Formation energy   0.7389 eV per atom

Cell: 5.8342 5.8342 3.9936 Å, 90.00 90.00 90.00°
Closest atoms and distances in Å follow each position.
Space group P4/mmm (No. 123)
Unique sites:
Rb 0.0000 0.0000 0.0000 x1  8 La 3.54
La 0.0000 0.5000 0.5000 x2  2 P 2.92
P 0.5000 0.5000 0.5000 x1  2 C 2.00
C 0.5000 0.5000 0.0000 x1  2 P 2.00

=====

No. 6
Here is a geometry-optimized LaP2CS structure from Alexandria via LeMat-Bulk. Energies are from PBE.

Output
Spin magnetization   0.000 μB/atom
Formation energy without anion corrections   0.132 eV/atom
Relative energy among the computed polymorphs   0.000 eV per atom
N(E_F)   3.54 states/eV/cell
Calculated total energy   -28.44 eV per cell

Cell: 4.0764 4.0764 5.2815 Å, 90.00 90.00 90.00°
Closest atoms and distances in Å follow each position.
Space group P4/mmm (No. 123)
Unique sites:
La 0.0000 0.0000 0.0000 x1  4 S 2.88
P 0.0000 0.5000 0.5000 x2  2 C 2.04
C 0.5000 0.5000 0.5000 x1  4 P 2.04
S 0.5000 0.5000 0.0000 x1  2 C 2.64, 4 La 2.88

=====

What is the spin magnetization in the second record? 0.000 μB/atom

=====

N(E_F) of number 5 (RbLa2PC)? 4.71 states/eV/cell